No. 1
First-principles (PBE) data for a relaxed structure of Er8Sb3Te4P, as listed in the Alexandria database.

Computed properties:
* total moment: 0.000 μB/f.u.
* uncorrected formation energy: -1.27 eV/atom
* uncorrected energy: -5.446 eV per atom
* SG: R-3m, No. 166

Lattice parameters (Å, degrees): 8.576 8.620 8.576 119.83 120.00 90.00
Fractional coordinates of all 16 atoms:
Er (0.231, 0.725, 0.994)
Er (0.231, 0.725, 0.462)
Er (0.254, 0.261, 0.507)
Er (0.763, 0.725, 0.994)
Er (0.237, 0.275, 0.006)
Er (0.746, 0.739, 0.493)
Er (0.769, 0.275, 0.538)
Er (0.769, 0.275, 0.006)
Sb (0.500, 0.500, 0.000)
Sb (0.500, 0.500, 0.500)
Sb (0.000, 0.500, 0.500)
Te (0.500, 0.000, 0.000)
Te (0.500, 0.000, 0.500)
Te (0.000, 0.000, 0.000)
Te (0.000, 0.000, 0.500)
P (0.000, 0.500, 0.000)



No. 2
First-principles (PBE) data for a relaxed structure of ErSc2P, as listed in the Alexandria database.

Computed properties:
* total moment: 0.255 μB/f.u.
* formation energy: -0.644 eV per atom
* uncorrected energy: -6.303 eV per atom
* SG: R-3m, No. 166

Lattice parameters (Å, degrees): 3.595 3.595 9.005 78.49 78.49 60.00
Last column: magnetic moment on the atom in μB.
Fractional coordinates of all 4 atoms:
Sc (0.276, 0.276, 0.172)  0.03
Sc (0.724, 0.724, 0.828)  0.03
P (0.000, 0.000, 0.000)  0.00
Er (0.500, 0.500, 0.500)  0.11



No. 3
First-principles (PBE) data for a relaxed structure of ErSc3P4, as listed in the Alexandria database.

Computed properties:
* total moment: 0.000 μB/f.u.
* formation energy: -1.508 eV per atom
* uncorrected energy: -7.157 eV per atom
* SG: Cmmm, No. 65

Lattice parameters (Å, degrees): 3.816 6.600 6.600 70.52 90.00 90.00
Fractional coordinates of all 8 atoms:
Sc (0.500, 0.000, 0.500)
Sc (0.000, 0.000, 0.000)
Sc (0.000, 0.500, 0.500)
P (0.000, 0.759, 0.741)
P (0.500, 0.755, 0.254)
P (0.000, 0.241, 0.259)
P (0.500, 0.246, 0.746)
Er (0.500, 0.500, 0.000)



No. 4
First-principles (PBE) data for a relaxed structure of ErSc5P6, as listed in the Alexandria database.

Computed properties:
* total moment: 0.000 μB/f.u.
* formation energy: -1.501 eV per atom
* uncorrected energy: -7.225 eV per atom
* SG: C2/m, No. 12

Lattice parameters (Å, degrees): 6.571 6.573 6.572 60.00 80.39 70.50
Fractional coordinates of all 12 atoms:
Sc (0.500, 0.165, 0.670)
Sc (0.000, 0.333, 0.334)
Sc (0.500, 0.500, 0.000)
Sc (0.000, 0.667, 0.666)
Sc (0.500, 0.835, 0.330)
P (0.745, 0.085, 0.340)
P (0.255, 0.575, 0.340)
P (0.254, 0.256, 0.000)
P (0.746, 0.744, 0.000)
P (0.745, 0.425, 0.660)
P (0.255, 0.915, 0.660)
Er (0.000, 0.000, 0.000)



No. 5
First-principles (PBE) data for a relaxed structure of Er2ScP3, as listed in the Alexandria database.

Computed properties:
* total moment: 0.000 μB/f.u.
* formation energy: -1.554 eV per atom
* uncorrected energy: -6.836 eV per atom
* SG: Immm, No. 71

Lattice parameters (Å, degrees): 3.902 5.529 6.752 114.17 106.79 90.00
Fractional coordinates of all 6 atoms:
Er (0.668, 0.168, 0.335)
Er (0.332, 0.832, 0.665)
Sc (0.000, 0.500, 0.000)
P (0.340, 0.340, 0.680)
P (0.000, 0.000, 0.000)
P (0.660, 0.660, 0.320)



No. 6
First-principles (PBE) data for a relaxed structure of Er3ScP4, as listed in the Alexandria database.

Computed properties:
* total moment: 0.000 μB/f.u.
* formation energy: -1.568 eV per atom
* uncorrected energy: -6.776 eV per atom
* SG: Cmmm, No. 65

Lattice parameters (Å, degrees): 3.921 6.784 6.784 109.48 90.00 90.00
Fractional coordinates of all 8 atoms:
Er (0.000, 0.000, 0.500)
Er (0.500, 0.500, 0.500)
Er (0.000, 0.500, 0.000)
Sc (0.500, 0.000, 0.000)
P (0.000, 0.242, 0.242)
P (0.500, 0.754, 0.246)
P (0.000, 0.758, 0.758)
P (0.500, 0.246, 0.754)



No. 7
First-principles (PBE) data for a relaxed structure of Er3ScP4, as listed in the Alexandria database.

Computed properties:
* total moment: 0.000 μB/f.u.
* formation energy: -1.570 eV per atom
* uncorrected energy: -6.777 eV per atom
* SG: P2/c, No. 13

Lattice parameters (Å, degrees): 6.786 6.784 7.845 90.00 90.00 109.52
Fractional coordinates of all 16 atoms:
Sc (0.750, 0.000, 0.876)
Sc (0.250, 0.000, 0.124)
P (0.996, 0.246, 0.629)
P (0.500, 0.241, 0.880)
P (0.496, 0.246, 0.371)
P (0.000, 0.241, 0.120)
P (0.000, 0.759, 0.880)
P (0.504, 0.754, 0.629)
P (0.500, 0.759, 0.120)
P (0.004, 0.754, 0.371)
Er (0.750, 0.000, 0.374)
Er (0.250, 0.000, 0.626)
Er (0.750, 0.500, 0.626)
Er (0.750, 0.500, 0.124)
Er (0.250, 0.500, 0.374)
Er (0.250, 0.500, 0.876)



No. 8
First-principles (PBE) data for a relaxed structure of ErSc2P, as listed in the Alexandria database.

Computed properties:
* total moment: 0.000 μB/f.u.
* formation energy: -0.792 eV per atom
* uncorrected energy: -6.451 eV per atom
* SG: Pnma, No. 62

Lattice parameters (Å, degrees): 5.794 7.037 8.574 90.00 90.00 90.00
Fractional coordinates of all 16 atoms:
Er (0.628, 0.523, 0.250)
Er (0.872, 0.023, 0.250)
Er (0.372, 0.477, 0.750)
Er (0.128, 0.977, 0.750)
Sc (0.140, 0.677, 0.051)
Sc (0.360, 0.177, 0.449)
Sc (0.860, 0.323, 0.551)
Sc (0.640, 0.823, 0.949)
Sc (0.860, 0.323, 0.949)
Sc (0.640, 0.823, 0.551)
Sc (0.140, 0.677, 0.449)
Sc (0.360, 0.177, 0.051)
P (0.092, 0.381, 0.250)
P (0.408, 0.881, 0.250)
P (0.908, 0.619, 0.750)
P (0.592, 0.119, 0.750)



No. 9
First-principles (PBE) data for a relaxed structure of ErSc2P3, as listed in the Alexandria database.

Computed properties:
* total moment: 0.000 μB/f.u.
* formation energy: -1.514 eV per atom
* uncorrected energy: -7.089 eV per atom
* SG: Immm, No. 71

Lattice parameters (Å, degrees): 3.829 5.432 6.630 114.18 106.79 90.00
Fractional coordinates of all 6 atoms:
Er (0.000, 0.500, 0.000)
Sc (0.666, 0.166, 0.331)
Sc (0.334, 0.834, 0.669)
P (0.326, 0.326, 0.653)
P (0.000, 0.000, 0.000)
P (0.674, 0.674, 0.347)



No. 10
First-principles (PBE) data for a relaxed structure of Er4ScP5, as listed in the Alexandria database.

Computed properties:
* total moment: 0.000 μB/f.u.
* formation energy: -1.576 eV per atom
* uncorrected energy: -6.739 eV per atom
* SG: I4/m, No. 87

Lattice parameters (Å, degrees): 5.565 6.805 6.805 80.37 65.86 65.86
Fractional coordinates of all 10 atoms:
Er (0.403, 0.398, 0.799)
Er (0.801, 0.799, 0.602)
Er (0.201, 0.201, 0.398)
Er (0.599, 0.602, 0.201)
Sc (0.001, 0.000, 0.000)
P (0.903, 0.392, 0.804)
P (0.295, 0.804, 0.608)
P (0.707, 0.196, 0.392)
P (0.099, 0.608, 0.196)
P (0.501, 0.000, 0.000)



No. 11
First-principles (PBE) data for a relaxed structure of ErSc4P5, as listed in the Alexandria database.

Computed properties:
* total moment: 0.000 μB/f.u.
* formation energy: -1.502 eV per atom
* uncorrected energy: -7.196 eV per atom
* SG: Immm, No. 71

Lattice parameters (Å, degrees): 3.799 5.386 10.047 105.55 100.90 90.00
Fractional coordinates of all 10 atoms:
Er (0.000, 0.000, 0.000)
Sc (0.399, 0.399, 0.798)
Sc (0.798, 0.798, 0.596)
Sc (0.202, 0.202, 0.404)
Sc (0.601, 0.601, 0.202)
P (0.605, 0.105, 0.210)
P (0.800, 0.300, 0.601)
P (0.200, 0.700, 0.399)
P (0.000, 0.500, 0.000)
P (0.395, 0.895, 0.790)



No. 12
First-principles (PBE) data for a relaxed structure of Er5ScP6, as listed in the Alexandria database.

Computed properties:
* total moment: 0.000 μB/f.u.
* formation energy: -1.583 eV per atom
* uncorrected energy: -6.716 eV per atom
* SG: C2/m, No. 12

Lattice parameters (Å, degrees): 6.817 6.820 6.817 59.99 80.39 70.50
Fractional coordinates of all 12 atoms:
Sc (0.000, 0.000, 0.000)
P (0.754, 0.082, 0.327)
P (0.246, 0.591, 0.327)
P (0.247, 0.245, 0.000)
P (0.753, 0.755, 0.000)
P (0.754, 0.409, 0.673)
P (0.246, 0.918, 0.673)
Er (0.500, 0.168, 0.664)
Er (0.000, 0.334, 0.333)
Er (0.500, 0.500, 0.000)
Er (0.000, 0.666, 0.667)
Er (0.500, 0.832, 0.336)



No. 13
First-principles (PBE) data for a relaxed structure of Er2ScP3, as listed in the Alexandria database.

Computed properties:
* total moment: 0.000 μB/f.u.
* formation energy: -1.557 eV per atom
* uncorrected energy: -6.839 eV per atom
* SG: C2/m, No. 12

Lattice parameters (Å, degrees): 6.758 6.758 6.752 99.61 99.61 119.99
Fractional coordinates of all 12 atoms:
Er (0.833, 0.167, 0.500)
Er (0.333, 0.667, 0.000)
Er (0.168, 0.832, 0.500)
Er (0.499, 0.501, 0.500)
Sc (0.001, 0.999, 0.000)
Sc (0.666, 0.334, 0.000)
P (0.593, 0.927, 0.759)
P (0.073, 0.407, 0.241)
P (0.913, 0.586, 0.758)
P (0.253, 0.246, 0.758)
P (0.414, 0.087, 0.242)
P (0.754, 0.747, 0.242)



No. 14
First-principles (PBE) data for a relaxed structure of Er2ScP, as listed in the Alexandria database.

Computed properties:
* total moment: 0.491 μB/f.u.
* formation energy: -0.407 eV per atom
* uncorrected energy: -5.624 eV per atom
* SG: R-3m, No. 166

Lattice parameters (Å, degrees): 3.660 3.660 9.889 79.33 79.33 60.00
Last column: magnetic moment on the atom in μB.
Fractional coordinates of all 4 atoms:
Sc (0.000, 0.000, 0.000)  0.28
P (0.500, 0.500, 0.500)  0.00
Er (0.110, 0.110, 0.669)  0.02
Er (0.890, 0.890, 0.331)  0.02



No. 15
First-principles (PBE) data for a relaxed structure of ErScPSe, as listed in the Alexandria database.

Computed properties:
* total moment: 0.000 μB/f.u.
* uncorrected formation energy: -1.64 eV/atom
* uncorrected energy: -6.587 eV per atom
* SG: R3m, No. 160

Lattice parameters (Å, degrees): 3.837 3.837 7.067 90.00 105.75 120.00
Fractional coordinates of all 4 atoms:
Er (0.487, 0.141, 0.644)
Sc (0.116, 0.956, 0.088)
P (0.314, 0.555, 0.885)
Se (0.960, 0.378, 0.353)



No. 16
First-principles (PBE) data for a relaxed structure of SmEr2Sc3P6, as listed in the Alexandria database.

Computed properties:
* total moment: 0.000 μB/f.u.
* formation energy: -1.524 eV per atom
* uncorrected energy: -6.965 eV per atom
* SG: C2/m, No. 12

Lattice parameters (Å, degrees): 6.743 6.743 6.719 99.62 99.62 120.00
Fractional coordinates of all 12 atoms:
Sm (0.000, 0.000, 0.000)
Er (0.333, 0.667, 0.000)
Er (0.667, 0.333, 0.000)
Sc (0.166, 0.834, 0.500)
Sc (0.834, 0.166, 0.500)
Sc (0.500, 0.500, 0.500)
P (0.911, 0.573, 0.734)
P (0.750, 0.750, 0.265)
P (0.089, 0.427, 0.266)
P (0.573, 0.911, 0.734)
P (0.250, 0.250, 0.735)
P (0.427, 0.089, 0.266)



No. 17
First-principles (PBE) data for a relaxed structure of Tb2ErSc3P6, as listed in the Alexandria database.

Computed properties:
* total moment: 0.000 μB/f.u.
* formation energy: -1.535 eV per atom
* uncorrected energy: -6.975 eV per atom
* SG: C2/m, No. 12

Lattice parameters (Å, degrees): 6.736 6.736 6.712 99.62 99.62 120.00
Fractional coordinates of all 12 atoms:
Tb (0.333, 0.667, 0.000)
Tb (0.667, 0.333, 0.000)
Er (0.000, 0.000, 0.000)
Sc (0.167, 0.833, 0.500)
Sc (0.833, 0.167, 0.500)
Sc (0.500, 0.500, 0.500)
P (0.912, 0.580, 0.735)
P (0.757, 0.757, 0.266)
P (0.088, 0.420, 0.265)
P (0.580, 0.912, 0.735)
P (0.243, 0.243, 0.734)
P (0.420, 0.088, 0.265)



No. 18
First-principles (PBE) data for a relaxed structure of ErThSc2P4, as listed in the Alexandria database.

Computed properties:
* total moment: 0.000 μB/f.u.
* formation energy: -1.527 eV per atom
* uncorrected energy: -7.313 eV per atom
* SG: P2/m, No. 10

Lattice parameters (Å, degrees): 3.934 6.751 6.796 70.40 90.00 90.00
Fractional coordinates of all 8 atoms:
Er (0.000, 0.500, 0.500)
Th (0.500, 0.500, 0.000)
Sc (0.000, 0.000, 0.000)
Sc (0.500, 0.000, 0.500)
P (0.000, 0.770, 0.738)
P (0.000, 0.230, 0.262)
P (0.500, 0.766, 0.249)
P (0.500, 0.234, 0.751)



No. 19
First-principles (PBE) data for a relaxed structure of Er2ThScP4, as listed in the Alexandria database.

Computed properties:
* total moment: 0.000 μB/f.u.
* formation energy: -1.548 eV per atom
* uncorrected energy: -7.113 eV per atom
* SG: P2/m, No. 10

Lattice parameters (Å, degrees): 3.985 6.891 6.858 70.54 90.00 90.00
Fractional coordinates of all 8 atoms:
Er (0.000, 0.000, 0.000)
Er (0.500, 0.000, 0.500)
Th (0.500, 0.500, 0.000)
Sc (0.000, 0.500, 0.500)
P (0.000, 0.753, 0.739)
P (0.000, 0.247, 0.261)
P (0.500, 0.745, 0.261)
P (0.500, 0.255, 0.739)



No. 20
First-principles (PBE) data for a relaxed structure of ErTh2ScP4, as listed in the Alexandria database.

Computed properties:
* total moment: 0.003 μB/f.u.
* formation energy: -1.529 eV per atom
* uncorrected energy: -7.450 eV per atom
* SG: P2/m, No. 10

Lattice parameters (Å, degrees): 4.035 6.887 6.987 70.17 90.00 90.00
Fractional coordinates of all 8 atoms:
Er (0.000, 0.500, 0.500)
Th (0.000, 0.000, 0.000)
Th (0.500, 0.000, 0.500)
Sc (0.500, 0.500, 0.000)
P (0.000, 0.732, 0.761)
P (0.000, 0.268, 0.239)
P (0.500, 0.735, 0.250)
P (0.500, 0.265, 0.750)